i.
Computed, not measured: a geometry-optimized TaRu2Pt structure at the GGA-PBE level of DFT.

The space group is R-3m (No. 166, hexagonal axes) and the conventional cell measures 2.7959, 2.7959 and 27.3805 Å, with angles of 90.00, 90.00 and 120.00 degrees. The asymmetric unit holds Ta at (0.0000, 0.0000, 0.0000), Ru at (0.0000, 0.0000, 0.2500) and Pt at (0.0000, 0.0000, 0.5000).

For the size of the total moment, the calculation gives 0.0 μB per cell.

=====

ii.
Computed, not measured: a geometry-optimized TaRu2Pt structure at the GGA-PBE level of DFT.

The space group is C2/m (No. 12) and the conventional cell measures 9.134, 2.828 and 4.841 Å, with angles of 90.00, 101.10 and 90.00 degrees. The asymmetric unit holds Ta at (0.000, 0.000, 0.000), Ru at (0.247, 0.500, 0.255) and Pt at (0.000, 0.500, 0.500).

For the size of the total moment, the calculation gives 0.0 μB per cell.

=====

iii.
Computed, not measured: a geometry-optimized TaRu2Pt structure at the GGA-PBE level of DFT.

The space group is I-42d (No. 122) and the conventional cell measures 3.846, 3.846 and 18.243 Å, with angles of 90.00, 90.00 and 90.00 degrees. The asymmetric unit holds Ta at (0.000, 0.000, 0.000), Ru at (0.214, 0.250, 0.625) and Pt at (0.000, 0.000, 0.500).

For the size of the total moment, the calculation gives 0.0 μB per cell.

=====

Stability, lowest: iii

=====

i.
Computed, not measured: a geometry-optimized TaRu2Pt structure at the GGA-PBE level of DFT.

The space group is Pmmm (No. 47) and the conventional cell measures 2.864, 3.787 and 5.661 Å, with angles of 90.00, 90.00 and 90.00 degrees. The asymmetric unit holds Ta at (0.000, 0.000, 0.000), Ru at (0.500, 0.500, 0.251) and Pt at (0.000, 0.000, 0.500).

For the size of the total moment, the calculation gives 0.0 μB per cell.

=====

ii.
Computed, not measured: a geometry-optimized TaRu2Pt structure at the GGA-PBE level of DFT.

The space group is R3m (No. 160, hexagonal axes) and the conventional cell measures 2.7927, 2.7927 and 27.4016 Å, with angles of 90.00, 90.00 and 120.00 degrees. The asymmetric unit holds Ta at (0.0000, 0.0000, 0.0000), Ru at (0.0000, 0.0000, 0.2461), Ru at (0.0000, 0.0000, 0.5042) and Pt at (0.0000, 0.0000, 0.7514).

For the size of the total moment, the calculation gives 0.0 μB per cell.

=====

iii.
Computed, not measured: a geometry-optimized TaRu2Pt structure at the GGA-PBE level of DFT.

The space group is Fm-3m (No. 225) and the conventional cell measures 6.280, 6.280 and 6.280 Å, with angles of 90.00, 90.00 and 90.00 degrees. The asymmetric unit holds Ta at (0.000, 0.000, 0.000), Ru at (0.250, 0.250, 0.250) and Pt at (0.000, 0.000, 0.500).

For the size of the total moment, the calculation gives 0.0 μB per cell.

=====

Stability, lowest: ii

=====

i.
Computed, not measured: a geometry-optimized TaRu2Pt structure at the GGA-PBE level of DFT.

The space group is Cm (No. 8) and the conventional cell measures 9.232, 2.834 and 4.766 Å, with angles of 90.00, 100.71 and 90.00 degrees. The asymmetric unit holds Ta at (0.000, 0.000, 0.000), Ru at (0.252, 0.500, 0.271), Ru at (0.495, 0.000, 0.480) and Pt at (0.248, 0.000, 0.752).

For the size of the total moment, the calculation gives 0.0 μB per cell.

=====

ii.
Computed, not measured: a geometry-optimized TaRu2Pt structure at the GGA-PBE level of DFT.

The space group is P4mm (No. 99) and the conventional cell measures 2.780, 2.780 and 7.931 Å, with angles of 90.00, 90.00 and 90.00 degrees. The asymmetric unit holds Ta at (0.000, 0.000, 0.000), Ru at (0.000, 0.000, 0.518), Ru at (0.500, 0.500, 0.736) and Pt at (0.500, 0.500, 0.255).

For the size of the total moment, the calculation gives 0.0 μB per cell.

=====

iii.
Computed, not measured: a geometry-optimized TaRu2Pt structure at the GGA-PBE level of DFT.

The space group is P4/mmm (No. 123) and the conventional cell measures 2.799, 2.799 and 7.869 Å, with angles of 90.00, 90.00 and 90.00 degrees. The asymmetric unit holds Ta at (0.000, 0.000, 0.000), Ru at (0.500, 0.500, 0.252) and Pt at (0.000, 0.000, 0.500).

For the size of the total moment, the calculation gives 0.0 μB per cell.

=====

Stability, lowest: iii